## NpCuNiO5 (PBE+U)

Data for a relaxed NpCuNiO5 crystal.

Geometry as extended XYZ:
```
16
Lattice="5.799 -0.469 -0.194 -2.142 5.409 -0.194 -1.721 -2.325 7.494" Properties=species:S:1:pos:R:3 pbc="T T T"
O -0.402 0.654 4.062
Np 0.000 0.000 0.000
O 4.755 1.023 0.825
Cu -1.078 1.922 5.427
O 1.603 0.969 0.314
Ni 2.158 -0.473 5.427
Ni -0.222 3.088 1.680
O -2.819 1.592 6.282
O 3.206 -1.069 2.535
O 3.725 -1.634 5.427
O 2.338 1.962 3.046
Cu 3.014 0.693 1.680
O -1.270 3.684 4.573
O -1.789 4.249 1.680
O 0.333 1.646 6.793
Np -0.860 -1.162 3.747
```

For the final energy, the calculation gives -7.170 eV/atom.